1.
# Ti3PtN | Alexandria | PBE | optimized geometry
# Total moment in μB per cell: 1.12
# Total energy in eV for the cell shown: -86.99
# DOS at the Fermi energy in states/eV per atom: 0.780
# Formation energy (no corrections) in eV/atom: -1.09
data_Ti3PtN
_cell_length_a 4.053
_cell_length_b 11.526
_cell_length_c 2.937
_cell_angle_alpha 90.00
_cell_angle_beta 90.00
_cell_angle_gamma 90.00
_space_group_name_H-M_alt 'P m m 2'
_space_group_IT_number 25
loop_
_space_group_symop_operation_xyz
'x,y,z'
'-x,-y,z'
'-x,y,z'
'x,-y,z'
loop_
_atom_site_label
_atom_site_fract_x
_atom_site_fract_y
_atom_site_fract_z
_atom_site_occupancy
Ti1 0.000 0.000 0.000 1
Ti2 0.000 0.240 0.999 1
Ti3 0.000 0.500 0.998 1
Ti4 0.500 0.370 0.498 1
Pt1 0.500 0.125 0.499 1
N1 0.000 0.366 0.498 1

***

2.
# HgPt2W | Alexandria | PBE | optimized geometry
# Total moment in μB per cell: 0.00
# Calculated formation energy in eV/atom: 0.157
# Total energy in eV for the cell shown: -74.13
# DOS at the Fermi energy in states/eV per atom: 0.902
data_HgPt2W
_cell_length_a 2.8739
_cell_length_b 2.8739
_cell_length_c 28.4234
_cell_angle_alpha 90.00
_cell_angle_beta 90.00
_cell_angle_gamma 120.00
_space_group_name_H-M_alt 'R 3 m'
_space_group_IT_number 160
_space_group_name_Hall 'R 3 -2"'
loop_
_atom_site_label
_atom_site_fract_x
_atom_site_fract_y
_atom_site_fract_z
_atom_site_occupancy
Hg1 0.0000 0.0000 0.0000 1
Pt1 0.0000 0.0000 0.5024 1
Pt2 0.0000 0.0000 0.7532 1
W1 0.0000 0.0000 0.2440 1

***

3.
# Fe3MoAs | Alexandria | PBE | optimized geometry
# Total moment in μB per cell: 4.22
# Calculated formation energy in eV/atom: 1.013
# ΔE to the lowest computed polymorph in meV per atom: 0
# Total energy in eV for the cell shown: -35.80
# DOS at the Fermi energy in states/eV per atom: 1.167
data_Fe3MoAs
_cell_length_a 4.318
_cell_length_b 4.318
_cell_length_c 4.318
_cell_angle_alpha 90.00
_cell_angle_beta 90.00
_cell_angle_gamma 90.00
_space_group_name_H-M_alt 'P m -3 m'
_space_group_IT_number 221
_space_group_name_Hall '-P 4 2 3'
loop_
_atom_site_label
_atom_site_fract_x
_atom_site_fract_y
_atom_site_fract_z
_atom_site_occupancy
Fe1 0.000 0.000 0.500 1
Mo1 0.500 0.500 0.500 1
As1 0.000 0.000 0.000 1

***

4.
# CaIn3P | Alexandria | PBE | optimized geometry
# Total moment in μB per cell: 0.00
# Calculated formation energy in eV/atom: 0.993
# ΔE to the lowest computed polymorph in meV per atom: 881
# Total energy in eV for the cell shown: -10.66
# DOS at the Fermi energy in states/eV per atom: 0.685
data_CaIn3P
_cell_length_a 5.801
_cell_length_b 5.801
_cell_length_c 5.801
_cell_angle_alpha 90.00
_cell_angle_beta 90.00
_cell_angle_gamma 90.00
_space_group_name_H-M_alt 'P m -3 m'
_space_group_IT_number 221
_space_group_name_Hall '-P 4 2 3'
loop_
_atom_site_label
_atom_site_fract_x
_atom_site_fract_y
_atom_site_fract_z
_atom_site_occupancy
Ca1 0.000 0.000 0.000 1
In1 0.000 0.000 0.500 1
P1 0.500 0.500 0.500 1

***

5.
# Mo2As | Alexandria | PBE | optimized geometry
# Total moment in μB per cell: 0.00
# Calculated formation energy in eV/atom: 0.171
# ΔE to the lowest computed polymorph in meV per atom: 205
# Total energy in eV for the cell shown: -51.60
# DOS at the Fermi energy in states/eV per atom: 0.955
data_Mo2As
_cell_length_a 3.006
_cell_length_b 4.072
_cell_length_c 7.759
_cell_angle_alpha 90.00
_cell_angle_beta 90.00
_cell_angle_gamma 90.00
_space_group_name_H-M_alt 'I m m m'
_space_group_IT_number 71
_space_group_name_Hall '-I 2 2'
loop_
_atom_site_label
_atom_site_fract_x
_atom_site_fract_y
_atom_site_fract_z
_atom_site_occupancy
Mo1 0.000 0.000 0.167 1
As1 0.000 0.000 0.500 1

***

6.
# Nd4HoCd5 | Alexandria | PBE | optimized geometry
# Total moment in μB per cell: 1.85
# Calculated formation energy in eV/atom: -0.315
# Total energy in eV for the cell shown: -31.38
# DOS at the Fermi energy in states/eV per atom: 1.159
data_Nd4HoCd5
_cell_length_a 3.819
_cell_length_b 3.819
_cell_length_c 19.287
_cell_angle_alpha 90.00
_cell_angle_beta 90.00
_cell_angle_gamma 90.00
_space_group_name_H-M_alt 'P 4/m m m'
_space_group_IT_number 123
_space_group_name_Hall '-P 4 2'
loop_
_atom_site_label
_atom_site_fract_x
_atom_site_fract_y
_atom_site_fract_z
_atom_site_occupancy
Nd1 0.000 0.000 0.102 1
Nd2 0.000 0.000 0.305 1
Ho1 0.000 0.000 0.500 1
Cd1 0.500 0.500 0.000 1
Cd2 0.500 0.500 0.203 1
Cd3 0.500 0.500 0.408 1